Here is crystalline Pu5Te4As at its relaxed geometry from Alexandria. Energies are from PBE-GGA.

Summary:
* energy: -9.96 eV/atom
* ΔE_f (raw): -10.8 eV/f.u.
* offset from the most stable computed form: 0.000 eV/atom

Geometry as POSCAR:
```
Pu5Te4As
1.0
6.209 0.000 0.000
3.104 6.939 0.000
3.104 0.000 6.939
As Pu Te
1 5 4
Direct
0.002 0.000 0.000 As
0.098 0.620 0.185 Pu
0.718 0.185 0.380 Pu
0.284 0.815 0.620 Pu
0.502 0.000 0.000 Pu
0.903 0.380 0.815 Pu
0.197 0.210 0.397 Te
0.407 0.397 0.790 Te
0.594 0.603 0.210 Te
0.805 0.790 0.603 Te
```